1.
DFT (PBE) results for ScAgCl3 after structural relaxation.

## Properties
calculated total energy = -20.50 eV for the cell shown
SG = Pm-3m, No. 221
crystal system = cubic
V = 25.361 A^3/atom
DOS at the Fermi energy = 4.1 states/eV/cell
E_form (uncorrected) = -1.15 eV per atom
mass density = 3.39 g/cm3

Lattice parameters (Å, degrees): 5.0239 5.0239 5.0239 90.00 90.00 90.00
Sites, in units of the cell vectors:
Sc  0.0000  0.0000  0.0000
Ag  0.5000  0.5000  0.5000
Cl  0.0000  0.0000  0.5000
Cl  0.0000  0.5000  0.0000
Cl  0.5000  0.0000  0.0000

=====

2.
DFT (PBE) results for ScAgCl2 after structural relaxation.

## Properties
calculated total energy = -33.48 eV for the cell shown
SG = Imm2, No. 44
crystal system = orthorhombic
V = 24.897 A^3/atom
DOS at the Fermi energy = 2.6 states/eV/cell
E above lowest polymorph = 173 meV per atom
E_form (uncorrected) = -0.97 eV per atom
mass density = 3.73 g/cm3

Lattice parameters (Å, degrees): 3.1359 4.4690 14.2122 90.00 90.00 90.00
Sites, in units of the cell vectors:
Sc  0.0000  0.0000  0.0000
Sc  0.5000  0.5000  0.5000
Ag  0.0000  0.5000  0.3145
Ag  0.5000  0.0000  0.8145
Cl  0.0000  0.0000  0.4725
Cl  0.0000  0.5000  0.6398
Cl  0.5000  0.0000  0.1398
Cl  0.5000  0.5000  0.9725

=====

3.
DFT (PBE) results for Sc3AgCl after structural relaxation.

## Properties
calculated total energy = -22.66 eV for the cell shown
SG = Pm-3m, No. 221
crystal system = cubic
V = 28.862 A^3/atom
DOS at the Fermi energy = 6.5 states/eV/cell
E above lowest polymorph = 554 meV per atom
E_form (uncorrected) = 0.21 eV per atom
mass density = 3.20 g/cm3

Lattice parameters (Å, degrees): 5.2452 5.2452 5.2452 90.00 90.00 90.00
Sites, in units of the cell vectors:
Sc  0.0000  0.0000  0.5000
Sc  0.0000  0.5000  0.0000
Sc  0.5000  0.0000  0.0000
Ag  0.0000  0.0000  0.0000
Cl  0.5000  0.5000  0.5000

=====

4.
DFT (PBE) results for ScAgCl2 after structural relaxation.

## Properties
calculated total energy = -52.03 eV for the cell shown
SG = R-3m, No. 166
crystal system = trigonal
V = 26.056 A^3/atom
DOS at the Fermi energy = 6.3 states/eV/cell
E above lowest polymorph = 23 meV per atom
E_form (uncorrected) = -1.12 eV per atom
mass density = 3.56 g/cm3

Lattice parameters (Å, degrees): 3.3866 3.3866 31.4793 90.00 90.00 120.00
Sites, in units of the cell vectors:
Sc  0.0000  0.0000  0.0000
Sc  0.3333  0.6667  0.6667
Sc  0.6667  0.3333  0.3333
Ag  0.0000  0.0000  0.5000
Ag  0.3333  0.6667  0.1667
Ag  0.6667  0.3333  0.8333
Cl  0.0000  0.0000  0.2817
Cl  0.0000  0.0000  0.7183
Cl  0.3333  0.6667  0.3850
Cl  0.3333  0.6667  0.9484
Cl  0.6667  0.3333  0.0516
Cl  0.6667  0.3333  0.6150

=====

5.
DFT (PBE) results for ScAgCl2 after structural relaxation.

## Properties
calculated total energy = -16.35 eV for the cell shown
SG = P4mm, No. 99
crystal system = tetragonal
V = 21.668 A^3/atom
DOS at the Fermi energy = 1.6 states/eV/cell
E above lowest polymorph = 271 meV per atom
E_form (uncorrected) = -0.87 eV per atom
mass density = 4.29 g/cm3

Lattice parameters (Å, degrees): 3.3515 3.3515 7.7161 90.00 90.00 90.00
Sites, in units of the cell vectors:
Sc  0.0000  0.0000  0.0000
Ag  0.5000  0.5000  0.2352
Cl  0.0000  0.0000  0.4171
Cl  0.5000  0.5000  0.8098

=====

6.
DFT (PBE) results for ScAg6Cl12 after structural relaxation.

## Properties
calculated total energy = -59.76 eV for the cell shown
SG = R-3, No. 148
crystal system = trigonal
V = 30.570 A^3/atom
DOS at the Fermi energy = 7.4 states/eV/cell
E_form (uncorrected) = -0.75 eV per atom
mass density = 3.20 g/cm3

Lattice parameters (Å, degrees): 8.4697 8.4697 8.4697 79.59 79.59 79.59
Sites, in units of the cell vectors:
Sc  0.0000  0.0000  0.0000
Ag  0.1090  0.5991  0.2936
Ag  0.2936  0.1090  0.5991
Ag  0.4009  0.7064  0.8910
Ag  0.5991  0.2936  0.1090
Ag  0.7064  0.8910  0.4009
Ag  0.8910  0.4009  0.7064
Cl  0.0017  0.0442  0.6987
Cl  0.0442  0.6987  0.0017
Cl  0.1793  0.4064  0.5533
Cl  0.3013  0.9983  0.9558
Cl  0.4064  0.5533  0.1793
Cl  0.4467  0.8207  0.5936
Cl  0.5533  0.1793  0.4064
Cl  0.5936  0.4467  0.8207
Cl  0.6987  0.0017  0.0442
Cl  0.8207  0.5936  0.4467
Cl  0.9558  0.3013  0.9983
Cl  0.9983  0.9558  0.3013

=====

7.
DFT (PBE) results for ScAg4Cl after structural relaxation.

## Properties
calculated total energy = -19.62 eV for the cell shown
SG = F-43m, No. 216
crystal system = cubic
V = 20.357 A^3/atom
DOS at the Fermi energy = 2.6 states/eV/cell
E_form (uncorrected) = -0.01 eV per atom
mass density = 6.96 g/cm3

Lattice parameters (Å, degrees): 5.5692 5.5692 5.5692 60.00 60.00 60.00
Sites, in units of the cell vectors:
Sc  0.0000  0.0000  0.0000
Ag  0.1248  0.6251  0.6251
Ag  0.6251  0.1248  0.6251
Ag  0.6251  0.6251  0.1248
Ag  0.6251  0.6251  0.6251
Cl  0.2500  0.2500  0.2500

=====

8.
DFT (PBE) results for ScAgCl2 after structural relaxation.

## Properties
calculated total energy = -30.62 eV for the cell shown
SG = I-4m2, No. 119
crystal system = tetragonal
V = 20.237 A^3/atom
DOS at the Fermi energy = 6.7 states/eV/cell
E above lowest polymorph = 531 meV per atom
E_form (uncorrected) = -0.61 eV per atom
mass density = 4.59 g/cm3

Lattice parameters (Å, degrees): 3.8305 3.8305 11.0339 90.00 90.00 90.00
Sites, in units of the cell vectors:
Sc  0.0000  0.0000  0.0000
Sc  0.5000  0.5000  0.5000
Ag  0.0000  0.5000  0.7500
Ag  0.5000  0.0000  0.2500
Cl  0.0000  0.0000  0.5000
Cl  0.0000  0.5000  0.2500
Cl  0.5000  0.0000  0.7500
Cl  0.5000  0.5000  0.0000

=====

9.
DFT (PBE) results for ScAgCl2 after structural relaxation.

## Properties
calculated total energy = -66.32 eV for the cell shown
SG = I-42d, No. 122
crystal system = tetragonal
V = 27.631 A^3/atom
DOS at the Fermi energy = 0.1 states/eV/cell
E above lowest polymorph = 213 meV per atom
E_form (uncorrected) = -0.93 eV per atom
mass density = 3.36 g/cm3

Lattice parameters (Å, degrees): 8.7431 8.7431 5.7835 90.00 90.00 90.00
Sites, in units of the cell vectors:
Sc  0.0000  0.0000  0.0000
Sc  0.0000  0.5000  0.2500
Sc  0.5000  0.0000  0.7500
Sc  0.5000  0.5000  0.5000
Ag  0.0000  0.0000  0.5000
Ag  0.0000  0.5000  0.7500
Ag  0.5000  0.0000  0.2500
Ag  0.5000  0.5000  0.0000
Cl  0.1140  0.2500  0.1250
Cl  0.2500  0.6140  0.3750
Cl  0.2500  0.8860  0.8750
Cl  0.3860  0.2500  0.6250
Cl  0.6140  0.7500  0.6250
Cl  0.7500  0.1140  0.8750
Cl  0.7500  0.3860  0.3750
Cl  0.8860  0.7500  0.1250

=====

10.
DFT (PBE) results for ScAgCl2 after structural relaxation.

## Properties
calculated total energy = -15.35 eV for the cell shown
SG = P4/mmm, No. 123
crystal system = tetragonal
V = 19.227 A^3/atom
DOS at the Fermi energy = 1.7 states/eV/cell
E above lowest polymorph = 520 meV per atom
E_form (uncorrected) = -0.62 eV per atom
mass density = 4.83 g/cm3

Lattice parameters (Å, degrees): 4.6183 4.6183 3.6058 90.00 90.00 90.00
Sites, in units of the cell vectors:
Sc  0.0000  0.0000  0.0000
Ag  0.5000  0.5000  0.0000
Cl  0.0000  0.5000  0.5000
Cl  0.5000  0.0000  0.5000

=====

11.
DFT (PBE) results for ScAgCl2 after structural relaxation.

## Properties
calculated total energy = -16.97 eV for the cell shown
SG = P4/mmm, No. 123
crystal system = tetragonal
V = 25.752 A^3/atom
DOS at the Fermi energy = 2.5 states/eV/cell
E above lowest polymorph = 115 meV per atom
E_form (uncorrected) = -1.02 eV per atom
mass density = 3.61 g/cm3

Lattice parameters (Å, degrees): 3.1316 3.1316 10.5039 90.00 90.00 90.00
Sites, in units of the cell vectors:
Sc  0.0000  0.0000  0.0000
Ag  0.0000  0.0000  0.5000
Cl  0.5000  0.5000  0.1459
Cl  0.5000  0.5000  0.8541

=====

12.
DFT (PBE) results for ScAgCl after structural relaxation.

## Properties
calculated total energy = -45.66 eV for the cell shown
SG = F-43m, No. 216
crystal system = cubic
V = 22.313 A^3/atom
DOS at the Fermi energy = 11.0 states/eV/cell
E above lowest polymorph = 659 meV per atom
E_form (uncorrected) = -0.13 eV per atom
mass density = 4.67 g/cm3

Lattice parameters (Å, degrees): 6.4454 6.4454 6.4454 90.00 90.00 90.00
Sites, in units of the cell vectors:
Sc  0.0000  0.0000  0.0000
Sc  0.0000  0.5000  0.5000
Sc  0.5000  0.0000  0.5000
Sc  0.5000  0.5000  0.0000
Ag  0.0000  0.0000  0.5000
Ag  0.0000  0.5000  0.0000
Ag  0.5000  0.0000  0.0000
Ag  0.5000  0.5000  0.5000
Cl  0.2500  0.2500  0.2500
Cl  0.2500  0.7500  0.7500
Cl  0.7500  0.2500  0.7500
Cl  0.7500  0.7500  0.2500

=====

13.
DFT (PBE) results for ScAgCl2 after structural relaxation.

## Properties
calculated total energy = -50.43 eV for the cell shown
SG = R3m, No. 160
crystal system = trigonal
V = 24.016 A^3/atom
E above lowest polymorph = 156 meV per atom
E_form (uncorrected) = -0.98 eV per atom
mass density = 3.87 g/cm3

Lattice parameters (Å, degrees): 3.7308 3.7308 23.9083 90.00 90.00 120.00
Sites, in units of the cell vectors:
Sc  0.0000  0.0000  0.0000
Sc  0.3333  0.6667  0.6667
Sc  0.6667  0.3333  0.3333
Ag  0.0000  0.0000  0.2572
Ag  0.3333  0.6667  0.9239
Ag  0.6667  0.3333  0.5906
Cl  0.0000  0.0000  0.5256
Cl  0.0000  0.0000  0.7287
Cl  0.3333  0.6667  0.1923
Cl  0.3333  0.6667  0.3954
Cl  0.6667  0.3333  0.0620
Cl  0.6667  0.3333  0.8590

=====

14.
DFT (PBE) results for ScAgCl2 after structural relaxation.

## Properties
calculated total energy = -61.58 eV for the cell shown
SG = Fm-3m, No. 225
crystal system = cubic
V = 19.618 A^3/atom
DOS at the Fermi energy = 4.6 states/eV/cell
E above lowest polymorph = 510 meV per atom
E_form (uncorrected) = -0.63 eV per atom
mass density = 4.73 g/cm3

Lattice parameters (Å, degrees): 6.7961 6.7961 6.7961 90.00 90.00 90.00
Sites, in units of the cell vectors:
Sc  0.0000  0.0000  0.0000
Sc  0.0000  0.5000  0.5000
Sc  0.5000  0.0000  0.5000
Sc  0.5000  0.5000  0.0000
Ag  0.0000  0.0000  0.5000
Ag  0.0000  0.5000  0.0000
Ag  0.5000  0.0000  0.0000
Ag  0.5000  0.5000  0.5000
Cl  0.2500  0.2500  0.2500
Cl  0.2500  0.2500  0.7500
Cl  0.2500  0.7500  0.2500
Cl  0.2500  0.7500  0.7500
Cl  0.7500  0.2500  0.2500
Cl  0.7500  0.2500  0.7500
Cl  0.7500  0.7500  0.2500
Cl  0.7500  0.7500  0.7500

=====

15.
DFT (PBE) results for ScAgCl after structural relaxation.

## Properties
calculated total energy = -12.54 eV for the cell shown
SG = P-6m2, No. 187
crystal system = hexagonal
V = 21.333 A^3/atom
DOS at the Fermi energy = 2.2 states/eV/cell
E above lowest polymorph = 284 meV per atom
E_form (uncorrected) = -0.50 eV per atom
mass density = 4.89 g/cm3

Lattice parameters (Å, degrees): 4.4487 4.4487 3.7341 90.00 90.00 120.00
Sites, in units of the cell vectors:
Sc  0.0000  0.0000  0.0000
Ag  0.6667  0.3333  0.5000
Cl  0.3333  0.6667  0.0000

=====

16.
DFT (PBE) results for ScAg3Cl6 after structural relaxation.

## Properties
calculated total energy = -73.56 eV for the cell shown
SG = P2_1/c, No. 14
crystal system = monoclinic
V = 23.881 A^3/atom
DOS at the Fermi energy = 0.0 states/eV/cell
E_form (uncorrected) = -1.08 eV per atom
mass density = 4.04 g/cm3

Lattice parameters (Å, degrees): 6.8026 6.7724 12.2090 90.00 121.88 90.00
Sites, in units of the cell vectors:
Sc  0.0000  0.0000  0.0000
Sc  0.0000  0.5000  0.5000
Ag  0.2642  0.0380  0.7581
Ag  0.2642  0.4620  0.2581
Ag  0.5000  0.0000  0.5000
Ag  0.5000  0.5000  0.0000
Ag  0.7358  0.5380  0.7419
Ag  0.7358  0.9620  0.2419
Cl  0.0696  0.1897  0.4159
Cl  0.0696  0.3103  0.9159
Cl  0.2661  0.6710  0.4461
Cl  0.2661  0.8290  0.9461
Cl  0.3377  0.0916  0.2230
Cl  0.3377  0.4084  0.7230
Cl  0.6623  0.5916  0.2770
Cl  0.6623  0.9084  0.7770
Cl  0.7339  0.1710  0.0539
Cl  0.7339  0.3290  0.5539
Cl  0.9304  0.6897  0.0841
Cl  0.9304  0.8103  0.5841

=====

17.
DFT (PBE) results for Sc3AgCl after structural relaxation.

## Properties
calculated total energy = -25.44 eV for the cell shown
SG = Pm-3m, No. 221
crystal system = cubic
V = 21.521 A^3/atom
DOS at the Fermi energy = 3.4 states/eV/cell
E above lowest polymorph = 0 meV per atom
E_form (uncorrected) = -0.35 eV per atom
mass density = 4.29 g/cm3

Lattice parameters (Å, degrees): 4.7564 4.7564 4.7564 90.00 90.00 90.00
Sites, in units of the cell vectors:
Sc  0.0000  0.0000  0.5000
Sc  0.0000  0.5000  0.0000
Sc  0.5000  0.0000  0.0000
Ag  0.5000  0.5000  0.5000
Cl  0.0000  0.0000  0.0000

=====

18.
DFT (PBE) results for ScAgCl after structural relaxation.

## Properties
calculated total energy = -26.45 eV for the cell shown
SG = I4mm, No. 107
crystal system = tetragonal
V = 22.920 A^3/atom
DOS at the Fermi energy = 4.5 states/eV/cell
E above lowest polymorph = 55 meV per atom
E_form (uncorrected) = -0.73 eV per atom
mass density = 4.55 g/cm3

Lattice parameters (Å, degrees): 3.1941 3.1941 13.4793 90.00 90.00 90.00
Sites, in units of the cell vectors:
Sc  0.0000  0.0000  0.0000
Sc  0.5000  0.5000  0.5000
Ag  0.0000  0.0000  0.3557
Ag  0.5000  0.5000  0.8557
Cl  0.0000  0.0000  0.6102
Cl  0.5000  0.5000  0.1102

=====

19.
DFT (PBE) results for ScAgCl after structural relaxation.

## Properties
calculated total energy = -52.95 eV for the cell shown
SG = Amm2, No. 38
crystal system = orthorhombic
V = 23.537 A^3/atom
DOS at the Fermi energy = 6.5 states/eV/cell
E above lowest polymorph = 51 meV per atom
E_form (uncorrected) = -0.74 eV per atom
mass density = 4.43 g/cm3

Lattice parameters (Å, degrees): 14.5426 3.3495 5.7985 90.00 90.00 90.00
Sites, in units of the cell vectors:
Sc  0.1493  0.0000  0.0000
Sc  0.1493  0.5000  0.5000
Sc  0.8507  0.0000  0.0000
Sc  0.8507  0.5000  0.5000
Ag  0.0000  0.0000  0.3337
Ag  0.0000  0.5000  0.8337
Ag  0.5000  0.0000  0.3120
Ag  0.5000  0.5000  0.8120
Cl  0.2674  0.0000  0.3332
Cl  0.2674  0.5000  0.8332
Cl  0.7326  0.0000  0.3332
Cl  0.7326  0.5000  0.8332

=====

20.
DFT (PBE) results for ScAgCl2 after structural relaxation.

## Properties
calculated total energy = -17.22 eV for the cell shown
SG = Pm, No. 6
crystal system = monoclinic
V = 25.865 A^3/atom
DOS at the Fermi energy = 0.4 states/eV/cell
E above lowest polymorph = 52 meV per atom
E_form (uncorrected) = -1.09 eV per atom
mass density = 3.59 g/cm3

Lattice parameters (Å, degrees): 3.9547 3.5031 7.7051 90.00 104.26 90.00
Sites, in units of the cell vectors:
Sc  0.0000  0.0000  0.0000
Ag  0.4155  0.5000  0.8234
Cl  0.1154  0.5000  0.2393
Cl  0.8395  0.0000  0.6649